[1]
# MnAl4W | Alexandria via LeMat-Bulk | PBE-GGA | optimized geometry
data_MnAl4W
_chemical_formula_sum 'Mn4 Al16 W4'
_cell_length_a 7.152
_cell_length_b 7.152
_cell_length_c 7.152
_cell_angle_alpha 90.00
_cell_angle_beta 90.00
_cell_angle_gamma 90.00
_space_group_name_H-M_alt 'F -4 3 m'
_space_group_IT_number 216
_space_group_name_Hall 'F -4 2 3'
loop_
_atom_site_label
_atom_site_type_symbol
_atom_site_fract_x
_atom_site_fract_y
_atom_site_fract_z
Mn1 Mn 0.000 0.000 0.000
Al1 Al 0.125 0.125 0.375
W1 W 0.250 0.250 0.750
# Volume (A^3/atom): 15.24
# Formation enthalpy at 0 K (eV/atom): 0.14
# Calculated total energy (Ha/atom): -0.222

[2]
# YNi2Ag | Alexandria via LeMat-Bulk | PBE-GGA | optimized geometry
data_YNi2Ag
_chemical_formula_sum 'Y2 Ni4 Ag2'
_cell_length_a 3.846
_cell_length_b 3.717
_cell_length_c 9.733
_cell_angle_alpha 90.00
_cell_angle_beta 90.00
_cell_angle_gamma 90.00
_space_group_name_H-M_alt 'A m m 2'
_space_group_IT_number 38
_space_group_name_Hall 'A 2 -2'
loop_
_atom_site_label
_atom_site_type_symbol
_atom_site_fract_x
_atom_site_fract_y
_atom_site_fract_z
Y1 Y 0.000 0.000 0.000
Ni1 Ni 0.000 0.000 0.278
Ni2 Ni 0.500 0.000 0.413
Ag1 Ag 0.500 0.000 0.701
# Volume (A^3/atom): 17.40
# Formation enthalpy at 0 K (eV/atom): -0.15
# Calculated total energy (Ha/atom): -0.197

[3]
# NbNi3Pt3 | Alexandria via LeMat-Bulk | PBE-GGA | optimized geometry
data_NbNi3Pt3
_chemical_formula_sum 'Nb4 Ni12 Pt12'
_cell_length_a 7.453
_cell_length_b 7.453
_cell_length_c 7.453
_cell_angle_alpha 90.00
_cell_angle_beta 90.00
_cell_angle_gamma 90.00
_space_group_name_H-M_alt 'P 21 3'
_space_group_IT_number 198
_space_group_name_Hall 'P 2ac 2ab 3'
loop_
_atom_site_label
_atom_site_type_symbol
_atom_site_fract_x
_atom_site_fract_y
_atom_site_fract_z
Nb1 Nb 0.094 0.406 0.594
Ni1 Ni 0.088 0.588 0.912
Ni2 Ni 0.105 0.895 0.395
Ni3 Ni 0.221 0.221 0.221
Pt1 Pt 0.073 0.217 0.891
# Volume (A^3/atom): 14.79
# Formation enthalpy at 0 K (eV/atom): -0.13
# Calculated total energy (Ha/atom): -0.244